# 1
VASP calculation (PBE) on a relaxed structure of LiCaTl3.

POSCAR file:
```
LiCaTl3
1.0
-3.9664 1.7597 2.3677
-0.5462 -3.9678 2.0339
9.5869 4.9166 7.2054
Li Ca Tl
2 2 6
direct
0.3926 0.1408 0.2815
0.6074 0.8592 0.7185
0.1738 0.4246 0.8491
0.8262 0.5754 0.1509
0.7145 0.9649 0.9298
0.2855 0.0351 0.0702
0.4544 0.7034 0.4068
0.5456 0.2966 0.5932
0.0512 0.8026 0.6052
0.9488 0.1974 0.3948
```

Output
- E_form: -0.17 eV per atom
- Raw total energy: -23.7 eV per cell
- Magnetic moment: 0.00 μB per cell
- Space-group type: C2/m, No. 12
- Relative energy among the computed polymorphs: 0.059 eV/atom

# 2
VASP calculation (PBE) on a relaxed structure of Li2Ca2Tl.

POSCAR file:
```
Li2Ca2Tl
1.0
6.6612 0.0000 0.0000
-3.3306 5.0626 -1.5065
0.0000 -0.1633 8.2295
Li Ca Tl
4 4 2
direct
0.7840 0.7967 0.5288
0.9873 0.2033 0.9712
0.2160 0.2033 0.4712
0.0127 0.7967 0.0288
0.5567 0.3250 0.1469
0.2317 0.6750 0.3531
0.4433 0.6750 0.8531
0.7683 0.3250 0.6469
0.7780 0.0000 0.2500
0.2220 0.0000 0.7500
```

Output
- E_form: -0.21 eV per atom
- Raw total energy: -22.5 eV per cell
- Magnetic moment: 0.00 μB per cell
- Space-group type: C2/c, No. 15
- Relative energy among the computed polymorphs: 0.000 eV/atom

# 3
VASP calculation (PBE) on a relaxed structure of Li2CaTl.

POSCAR file:
```
Li2CaTl
1.0
-0.0779 4.8357 1.5964
0.3785 -1.0888 3.3165
5.7621 0.0874 0.0164
Ca Li Tl
1 2 1
direct
0.5000 0.7500 0.7500
0.0000 0.0592 0.0414
0.0000 0.4408 0.4586
0.5000 0.2500 0.2500
```

Output
- E_form: -0.16 eV per atom
- Raw total energy: -8.8 eV per cell
- Magnetic moment: 0.00 μB per cell
- Space-group type: P2/m, No. 10

# 4
VASP calculation (PBE) on a relaxed structure of Li2CaTl.

POSCAR file:
```
Li2CaTl
1.0
-2.5929 -4.9851 -2.5274
5.8426 -0.4583 1.9014
-0.0807 -2.3997 2.6065
Ca Li Tl
1 2 1
direct
0.0000 0.5000 0.5000
0.0000 0.0000 0.0000
0.5000 0.5000 0.0000
0.5000 0.0000 0.5000
```

Output
- E_form: -0.10 eV per atom
- Raw total energy: -8.6 eV per cell
- Magnetic moment: 0.00 μB per cell
- Space-group type: C2/m, No. 12

# 5
VASP calculation (PBE) on a relaxed structure of LiCa2Tl6.

POSCAR file:
```
LiCa2Tl6
1.0
6.2328 0.2484 -0.2913
-0.3913 5.9126 -3.3292
0.3189 -0.0610 6.7921
Li Ca Tl
1 2 6
direct
0.0000 0.0000 0.0000
0.1738 0.6663 0.3327
0.8262 0.3337 0.6673
0.3014 0.6507 0.8251
0.3009 0.1749 0.3499
0.3013 0.1744 0.8251
0.6986 0.3493 0.1749
0.6991 0.8251 0.6501
0.6987 0.8256 0.1749
```

Output
- E_form: -0.21 eV per atom
- Raw total energy: -22.0 eV per cell
- Magnetic moment: 0.00 μB per cell
- Space-group type: P-3m1, No. 164
- Relative energy among the computed polymorphs: 0.000 eV/atom

# 6
VASP calculation (PBE) on a relaxed structure of Li2CaTl6.

POSCAR file:
```
Li2CaTl6
1.0
5.8085 0.0000 0.0000
-2.9042 5.0303 0.0000
0.0000 0.0000 9.9031
Li Ca Tl
2 1 6
direct
0.3333 0.6667 0.5000
0.6667 0.3333 0.5000
0.0000 0.0000 0.0000
0.6544 0.0000 0.2632
0.3456 0.3456 0.2632
0.0000 0.6544 0.2632
0.6544 0.6544 0.7368
0.0000 0.3456 0.7368
0.3456 0.0000 0.7368
```

Output
- E_form: 0.01 eV per atom
- Raw total energy: -19.9 eV per cell
- Magnetic moment: 0.00 μB per cell
- Space-group type: P-31m, No. 162

# 7
VASP calculation (PBE) on a relaxed structure of Li2Ca2TmTl2.

POSCAR file:
```
Li2Ca2TmTl2
1.0
-1.5492 -1.7842 4.2948
2.6229 -3.4317 2.3180
5.1169 4.9294 6.6910
Li Ca Tm Tl
2 2 1 2
direct
0.6133 0.6133 0.1601
0.3867 0.3867 0.8399
0.1219 0.1219 0.6344
0.8781 0.8781 0.3656
0.0000 0.0000 0.0000
0.7278 0.7278 0.8167
0.2722 0.2722 0.1833
```

Output
- E_form: -0.22 eV per atom
- Raw total energy: -18.6 eV per cell
- Magnetic moment: 0.00 μB per cell
- Space-group type: R-3m, No. 166

# 8
VASP calculation (PBE) on a relaxed structure of LiCaTl2W.

POSCAR file:
```
LiCaTl2W
1.0
-2.4387 -1.1973 -5.1288
-0.3366 -5.2326 1.3816
-5.2544 0.9397 2.2790
Tl Ca W Li
2 1 1 1
direct
0.0000 0.0000 0.5000
0.5000 0.0000 0.0000
0.0000 0.0000 0.0000
0.0000 0.5000 0.0000
0.5000 0.5000 0.5000
```

Output
- E_form: 1.51 eV per atom
- Raw total energy: -14.1 eV per cell
- Magnetic moment: 3.28 μB per cell
- Space-group type: P4/mmm, No. 123

# 9
VASP calculation (PBE) on a relaxed structure of LiCaY2Tl4.

POSCAR file:
```
LiCaY2Tl4
1.0
5.3007 0.0000 0.0000
2.6504 4.5906 0.0000
2.6504 1.5302 8.7933
Li Ca Y Tl
1 1 2 4
direct
0.5000 0.5000 0.5000
0.0000 0.0000 0.0000
0.7532 0.7532 0.7403
0.2468 0.2468 0.2597
0.3786 0.3786 0.8642
0.8727 0.8727 0.3818
0.1273 0.1273 0.6182
0.6214 0.6214 0.1358
```

Output
- E_form: -0.34 eV per atom
- Raw total energy: -29.0 eV per cell
- Magnetic moment: 0.00 μB per cell
- Space-group type: R-3m, No. 166

# 10
VASP calculation (PBE) on a relaxed structure of Li2CaY2Tl2.

POSCAR file:
```
Li2CaY2Tl2
1.0
-3.2926 3.3987 -1.2007
-4.0333 0.5510 2.6950
1.9393 7.4356 5.8040
Li Ca Y Tl
2 1 2 2
direct
0.6024 0.6024 0.1928
0.3976 0.3976 0.8072
0.0000 0.0000 0.0000
0.1275 0.1275 0.6175
0.8725 0.8725 0.3825
0.7441 0.7441 0.7676
0.2559 0.2559 0.2324
```

Output
- E_form: -0.20 eV per atom
- Raw total energy: -24.9 eV per cell
- Magnetic moment: 0.00 μB per cell
- Space-group type: R-3m, No. 166

# 11
VASP calculation (PBE) on a relaxed structure of LiCaYTl.

POSCAR file:
```
LiCaYTl
1.0
-0.3539 3.8804 -3.6743
-4.6560 2.5273 -0.7858
-0.5720 5.0986 1.5364
Y Tl Ca Li
1 1 1 1
direct
0.7500 0.7500 0.7500
0.5000 0.5000 0.5000
0.2500 0.2500 0.2500
0.0000 0.0000 0.0000
```

Output
- E_form: -0.24 eV per atom
- Raw total energy: -13.7 eV per cell
- Magnetic moment: 0.00 μB per cell
- Space-group type: F-43m, No. 216

# 12
VASP calculation (PBE) on a relaxed structure of Li2CaYTl4.

POSCAR file:
```
Li2CaYTl4
1.0
-1.4361 -4.7419 1.6404
-0.7274 -3.8460 -3.4521
7.4653 -5.0830 0.1447
Li Ca Y Tl
2 1 1 4
direct
0.7501 0.7501 0.7498
0.2499 0.2499 0.2502
0.0000 0.0000 0.0000
0.5000 0.5000 0.5000
0.3752 0.3752 0.8745
0.8741 0.8741 0.3777
0.1259 0.1259 0.6223
0.6248 0.6248 0.1255
```

Output
- E_form: -0.32 eV per atom
- Raw total energy: -24.3 eV per cell
- Magnetic moment: 0.00 μB per cell
- Space-group type: R-3m, No. 166

Which value of magnetic moment does entry 1 give? 0.00 μB per cell